# RuSe2I

A geometry-optimized RuSe2I structure (GGA-PBE, Alexandria).

Unit cell a=6.9010 b=6.9010 c=9.8387 alpha=90.00 beta=90.00 gamma=90.00
With the nearest neighbours (Å) after each atom.
Space group I-42d (No. 122)
Inequivalent atoms, fractional coordinates:
Ru (0.0000, 0.0000, 0.0000) [4 per cell]  4 Se 2.35
Se (0.1459, 0.2500, 0.1250) [8 per cell]  2 Ru 2.35
I (0.0000, 0.0000, 0.5000) [4 per cell]  4 Se 3.23

Calculated values
The raw formation energy is 123 meV/atom. Its density of states at the Fermi level is 15.16 states/eV/cell. As for the calculated volume: 117.1 Å³/f.u. The relative energy among the computed polymorphs comes out at 205 meV per atom. As for the raw total energy: -17.3 eV/f.u.



# Re5Sb

A geometry-optimized Re5Sb structure (GGA-PBE, Alexandria).

Unit cell a=10.3470 b=2.9098 c=6.6452 alpha=90.00 beta=106.32 gamma=90.00
With the nearest neighbours (Å) after each atom.
Space group Cm (No. 8)
Inequivalent atoms, fractional coordinates:
Re (0.0000, 0.0000, 0.0000) [2 per cell]  10 Re 2.62-2.92
Re (0.0460, 0.0000, 0.6326) [2 per cell]  10 Re 2.62-2.91
Re (0.1318, 0.5000, 0.3562) [2 per cell]  8 Re 2.68-2.91, 3 Sb 2.75-2.92
Re (0.2090, 0.5000, 0.9385) [2 per cell]  9 Re 2.68-2.92, 2 Sb 2.75
Re (0.3210, 0.0000, 0.6753) [2 per cell]  11 Re 2.77-2.91, 1 Sb 2.78
Sb (0.3564, 0.0000, 0.2757) [2 per cell]  10 Re 2.75-3.03, 2 Sb 2.91

Calculated values
The raw formation energy is 278 meV/atom. Its density of states at the Fermi level is 10.09 states/eV/cell. As for the calculated volume: 96.0 Å³/f.u. The relative energy among the computed polymorphs comes out at 0 meV per atom. As for the raw total energy: -64.7 eV/f.u.



# Co3TeMo

A geometry-optimized Co3TeMo structure (GGA-PBE, Alexandria).

Unit cell a=4.4615 b=4.4615 c=4.4615 alpha=90.00 beta=90.00 gamma=90.00
With the nearest neighbours (Å) after each atom.
Space group Pm-3m (No. 221)
Inequivalent atoms, fractional coordinates:
Co (0.0000, 0.0000, 0.5000) [3 per cell]  2 Mo 2.23
Te (0.5000, 0.5000, 0.5000) [1 per cell]  12 Co 3.15
Mo (0.0000, 0.0000, 0.0000) [1 per cell]  6 Co 2.23

Calculated values
The raw formation energy is 1303 meV/atom. Its density of states at the Fermi level is 5.83 states/eV/cell. As for the calculated volume: 88.8 Å³/f.u. The relative energy among the computed polymorphs comes out at 0 meV per atom. As for the raw total energy: -28.8 eV/f.u.



# CaPr4Y3Se8

A geometry-optimized CaPr4Y3Se8 structure (GGA-PBE, Alexandria).

Unit cell a=8.2988 b=8.2988 c=20.9131 alpha=90.00 beta=90.00 gamma=120.00
With the nearest neighbours (Å) after each atom.
Space group R-3m (No. 166, hexagonal axes)
Inequivalent atoms, fractional coordinates:
Ca (0.0000, 0.0000, 0.0000) [3 per cell]  6 Se 2.90
Pr (0.0000, 0.0000, 0.5000) [3 per cell]  6 Se 3.02
Pr (0.0000, 0.5000, 0.5000) [9 per cell]  6 Se 3.03
Y (0.0000, 0.5000, 0.0000) [9 per cell]  6 Se 2.90
Se (0.0000, 0.0000, 0.2555) [6 per cell]  3 Y 2.90, 3 Pr 3.03
Se (0.0010, 0.5005, 0.2553) [18 per cell]  2 Y 2.90, 1 Ca 2.90, 3 Pr 3.02-3.03

Calculated values
The raw formation energy is -1831 meV/atom. Its density of states at the Fermi level is 25.61 states/eV/cell. As for the calculated volume: 415.8 Å³/f.u. As for the raw total energy: -97.7 eV/f.u.



# Sm2TiSi4Pt3

A geometry-optimized Sm2TiSi4Pt3 structure (GGA-PBE, Alexandria).

Unit cell a=4.1748 b=4.1748 c=10.3573 alpha=90.00 beta=90.00 gamma=90.00
With the nearest neighbours (Å) after each atom.
Space group P-4m2 (No. 115)
Inequivalent atoms, fractional coordinates:
Sm (0.0000, 0.5000, 0.2427) [2 per cell]  8 Si 3.18-3.27, 6 Pt 3.21-3.39, 2 Ti 3.39
Ti (0.0000, 0.0000, 0.5000) [1 per cell]  4 Si 2.56
Si (0.0000, 0.0000, 0.0000) [1 per cell]  4 Pt 2.43
Si (0.0000, 0.5000, 0.6426) [2 per cell]  3 Pt 2.46-2.56, 2 Ti 2.56
Si (0.5000, 0.5000, 0.0000) [1 per cell]  4 Pt 2.43
Pt (0.0000, 0.5000, 0.8799) [2 per cell]  5 Si 2.43-2.46
Pt (0.5000, 0.5000, 0.5000) [1 per cell]  4 Si 2.56

Calculated values
The raw formation energy is -1045 meV/atom. Its density of states at the Fermi level is 3.70 states/eV/cell. As for the calculated volume: 180.5 Å³/f.u. As for the raw total energy: -67.6 eV/f.u.



# NiPd3

A geometry-optimized NiPd3 structure (GGA-PBE, Alexandria).

Unit cell a=5.4567 b=5.4567 c=4.4986 alpha=90.00 beta=90.00 gamma=120.00
With the nearest neighbours (Å) after each atom.
Space group P6_3/mmc (No. 194)
Inequivalent atoms, fractional coordinates:
Ni (0.3333, 0.6667, 0.2500) [2 per cell]  12 Pd 2.73
Pd (0.1691, 0.3381, 0.7500) [6 per cell]  8 Pd 2.69-2.77, 4 Ni 2.73

Calculated values
The formation energy is 0.2 eV per formula unit. Its density of states at the Fermi level is 18.59 states/eV/cell. As for the calculated volume: 58.0 Å³/f.u. As for the raw total energy: -21.1 eV/f.u.



# Tb3TmRu

A geometry-optimized Tb3TmRu structure (GGA-PBE, Alexandria).

Unit cell a=5.3938 b=5.3938 c=5.3938 alpha=90.00 beta=90.00 gamma=90.00
With the nearest neighbours (Å) after each atom.
Space group Pm-3m (No. 221)
Inequivalent atoms, fractional coordinates:
Tb (0.0000, 0.0000, 0.5000) [3 per cell]  2 Ru 2.70
Tm (0.5000, 0.5000, 0.5000) [1 per cell]  12 Tb 3.81
Ru (0.0000, 0.0000, 0.0000) [1 per cell]  6 Tb 2.70

Calculated values
The formation energy is -0.1 eV per formula unit. Its density of states at the Fermi level is 7.82 states/eV/cell. As for the calculated volume: 156.9 Å³/f.u. The relative energy among the computed polymorphs comes out at 106 meV per atom. As for the raw total energy: -27.7 eV/f.u.



# ZnRu2

A geometry-optimized ZnRu2 structure (GGA-PBE, Alexandria).

Unit cell a=7.2780 b=7.2780 c=2.7194 alpha=90.00 beta=90.00 gamma=120.00
With the nearest neighbours (Å) after each atom.
Space group P-62m (No. 189)
Inequivalent atoms, fractional coordinates:
Zn (0.0000, 0.0000, 0.0000) [1 per cell]  9 Ru 2.60-2.63, 2 Zn 2.72
Zn (0.3333, 0.6667, 0.5000) [2 per cell]  9 Ru 2.52-2.71, 2 Zn 2.72
Ru (0.0000, 0.3093, 0.5000) [3 per cell]  4 Zn 2.52-2.63, 8 Ru 2.72-2.80
Ru (0.0000, 0.6433, 0.0000) [3 per cell]  5 Zn 2.60-2.71, 8 Ru 2.72-2.80

Calculated values
The formation energy is 0.4 eV per formula unit. Its density of states at the Fermi level is 9.06 states/eV/cell. As for the calculated volume: 41.6 Å³/f.u. As for the raw total energy: -19.4 eV/f.u.



# Tb7NdSm12

A geometry-optimized Tb7NdSm12 structure (GGA-PBE, Alexandria).

Unit cell a=15.1856 b=15.1856 c=10.1334 alpha=90.00 beta=90.00 gamma=120.00
With the nearest neighbours (Å) after each atom.
Space group R-3 (No. 148, hexagonal axes)
Inequivalent atoms, fractional coordinates:
Tb (0.0000, 0.0000, 0.0000) [3 per cell]  12 Sm 3.54-3.76
Tb (0.0660, 0.2461, 0.4250) [18 per cell]  7 Sm 3.36-3.68, 3 Tb 3.42-3.68, 1 Nd 3.44
Nd (0.0000, 0.0000, 0.5000) [3 per cell]  6 Tb 3.44, 6 Sm 3.77
Sm (0.0461, 0.2021, 0.7514) [18 per cell]  5 Tb 3.36-3.76, 4 Sm 3.36-3.75
Sm (0.0467, 0.2469, 0.0764) [18 per cell]  4 Sm 3.36-3.75, 4 Tb 3.38-3.55

Calculated values
The formation energy is 3.2 eV per formula unit. Its density of states at the Fermi level is 104.45 states/eV/cell. As for the calculated volume: 674.6 Å³/f.u. The relative energy among the computed polymorphs comes out at 0 meV per atom. As for the raw total energy: -90.6 eV/f.u.



# Dy7Br12O

A geometry-optimized Dy7Br12O structure (GGA-PBE, Alexandria).

Unit cell a=14.4002 b=14.4002 c=9.5338 alpha=90.00 beta=90.00 gamma=120.00
With the nearest neighbours (Å) after each atom.
Space group R-3 (No. 148, hexagonal axes)
Inequivalent atoms, fractional coordinates:
Dy (0.0000, 0.0000, 0.0000) [3 per cell]  6 Br 2.86
Dy (0.0424, 0.1534, 0.3535) [18 per cell]  1 O 2.42
Br (0.0247, 0.5862, 0.1636) [18 per cell]  3 Dy 2.84-3.15
Br (0.0520, 0.1865, 0.8366) [18 per cell]  3 Dy 2.86-2.87
O (0.0000, 0.0000, 0.5000) [3 per cell]  6 Dy 2.42

Calculated values
The raw formation energy is -1718 meV/atom. Its density of states at the Fermi level is 8.35 states/eV/cell. As for the calculated volume: 570.7 Å³/f.u. As for the raw total energy: -91.6 eV/f.u.



# Pu3O5

A geometry-optimized Pu3O5 structure (GGA-PBE, Alexandria).

Unit cell a=10.0197 b=6.9258 c=6.1938 alpha=90.00 beta=90.00 gamma=90.00
With the nearest neighbours (Å) after each atom.
Space group Pnma (No. 62)
Inequivalent atoms, fractional coordinates:
Pu (0.0022, 0.2500, 0.0405) [4 per cell]  6 O 2.25-2.32
Pu (0.1732, 0.0012, 0.5134) [8 per cell]  7 O 2.33-2.57
O (0.0002, 0.2500, 0.4609) [4 per cell]  5 Pu 2.46-2.60, 1 O 2.72
O (0.1027, 0.5228, 0.1555) [8 per cell]  4 Pu 2.25-2.42
O (0.1923, 0.2500, 0.8313) [4 per cell]  3 Pu 2.30-2.47
O (0.2114, 0.7500, 0.8132) [4 per cell]  5 Pu 2.32-2.57

Calculated values
The raw formation energy is -2989 meV/atom. Its density of states at the Fermi level is 56.99 states/eV/cell. As for the calculated volume: 107.5 Å³/f.u. As for the raw total energy: -91.7 eV/f.u.



# Cs2CuBr6F

A geometry-optimized Cs2CuBr6F structure (GGA-PBE, Alexandria).

Unit cell a=7.3336 b=7.3336 c=11.3760 alpha=90.00 beta=90.00 gamma=90.00
With the nearest neighbours (Å) after each atom.
Space group I4/mmm (No. 139)
Inequivalent atoms, fractional coordinates:
Cs (0.0000, 0.5000, 0.2500) [4 per cell]  12 Br 3.69-3.85
Cu (0.0000, 0.0000, 0.0000) [2 per cell]  6 Br 2.42-2.53
Br (0.0000, 0.0000, 0.2126) [4 per cell]  1 Cu 2.42
Br (0.2444, 0.2444, 0.0000) [8 per cell]  1 Cu 2.53, 1 F 2.65
F (0.0000, 0.0000, 0.5000) [2 per cell]  4 Br 2.65

Calculated values
The raw formation energy is -817 meV/atom. Its density of states at the Fermi level is 9.00 states/eV/cell. As for the calculated volume: 305.9 Å³/f.u. As for the raw total energy: -25.9 eV/f.u.